# 1
NiPOs2: relaxed, GGA-PBE. Values from VASP.

Geometry as Quantum ESPRESSO input:
```
&SYSTEM
  ibrav = 0, nat = 4, ntyp = 3
/
ATOMIC_SPECIES
Ni 58.69 Ni.upf
P 30.97 P.upf
Os 190.23 Os.upf
ATOMIC_POSITIONS crystal
Ni 0.000 0.000 0.000
P 0.747 0.747 0.886
Os 0.277 0.277 0.288
Os 0.555 0.555 0.515
CELL_PARAMETERS angstrom
4.307 -1.417 0.000
4.307 1.417 0.000
-0.152 0.000 4.523
```

- crystal system = monoclinic
- magnetic moment (μB/cell) = 0.00
- density of states at the Fermi level (states/eV/cell) = 2.9

# 2
NiP2Os: relaxed, GGA-PBE. Values from VASP.

Geometry as Quantum ESPRESSO input:
```
&SYSTEM
  ibrav = 0, nat = 4, ntyp = 3
/
ATOMIC_SPECIES
Ni 58.69 Ni.upf
P 30.97 P.upf
Os 190.23 Os.upf
ATOMIC_POSITIONS crystal
Ni 0.000 0.000 0.000
P 0.000 0.000 0.522
P 0.500 0.500 0.880
Os 0.500 0.500 0.363
CELL_PARAMETERS angstrom
3.277 0.000 0.000
0.000 3.277 0.000
0.000 0.000 4.833
```

- crystal system = tetragonal
- magnetic moment (μB/cell) = 0.00
- density of states at the Fermi level (states/eV/cell) = 2.4

# 3
NiP3Os: relaxed, GGA-PBE. Values from VASP.

Geometry as Quantum ESPRESSO input:
```
&SYSTEM
  ibrav = 0, nat = 5, ntyp = 3
/
ATOMIC_SPECIES
Ni 58.69 Ni.upf
P 30.97 P.upf
Os 190.23 Os.upf
ATOMIC_POSITIONS crystal
Ni 0.000 0.000 0.000
P 0.000 0.000 0.500
P 0.000 0.500 0.000
P 0.500 0.000 0.000
Os 0.500 0.500 0.500
CELL_PARAMETERS angstrom
4.255 0.000 0.000
0.000 4.255 0.000
0.000 0.000 4.255
```

- crystal system = cubic
- magnetic moment (μB/cell) = 0.00
- density of states at the Fermi level (states/eV/cell) = 4.0

# 4
NiPOs2: relaxed, GGA-PBE. Values from VASP.

Geometry as Quantum ESPRESSO input:
```
&SYSTEM
  ibrav = 0, nat = 4, ntyp = 3
/
ATOMIC_SPECIES
Ni 58.69 Ni.upf
P 30.97 P.upf
Os 190.23 Os.upf
ATOMIC_POSITIONS crystal
Ni 0.000 0.000 0.000
P 0.500 0.500 0.000
Os 0.000 0.500 0.500
Os 0.500 0.000 0.500
CELL_PARAMETERS angstrom
2.654 -4.187 0.000
2.654 4.187 0.000
-1.320 0.000 2.421
```

- crystal system = monoclinic
- magnetic moment (μB/cell) = 0.00
- density of states at the Fermi level (states/eV/cell) = 4.9

# 5
NiPOs2: relaxed, GGA-PBE. Values from VASP.

Geometry as Quantum ESPRESSO input:
```
&SYSTEM
  ibrav = 0, nat = 4, ntyp = 3
/
ATOMIC_SPECIES
Ni 58.69 Ni.upf
P 30.97 P.upf
Os 190.23 Os.upf
ATOMIC_POSITIONS crystal
Ni 0.000 0.000 0.000
P 0.203 0.703 0.500
Os 0.422 0.422 0.000
Os 0.694 0.194 0.500
CELL_PARAMETERS angstrom
-1.433 2.049 4.374
1.433 -2.049 4.374
1.433 2.049 -4.374
```

- crystal system = orthorhombic
- magnetic moment (μB/cell) = 0.00
- density of states at the Fermi level (states/eV/cell) = 3.9

# 6
NiP2Os: relaxed, GGA-PBE. Values from VASP.

Geometry as Quantum ESPRESSO input:
```
&SYSTEM
  ibrav = 0, nat = 4, ntyp = 3
/
ATOMIC_SPECIES
Ni 58.69 Ni.upf
P 30.97 P.upf
Os 190.23 Os.upf
ATOMIC_POSITIONS crystal
Ni 0.000 0.000 0.000
P 0.000 0.000 0.566
P 0.500 0.500 0.177
Os 0.500 0.500 0.760
CELL_PARAMETERS angstrom
1.439 -2.301 0.000
1.439 2.301 0.000
0.000 0.000 9.502
```

- crystal system = orthorhombic
- magnetic moment (μB/cell) = 0.00
- density of states at the Fermi level (states/eV/cell) = 3.1

# 7
NiP2Os: relaxed, GGA-PBE. Values from VASP.

Geometry as Quantum ESPRESSO input:
```
&SYSTEM
  ibrav = 0, nat = 4, ntyp = 3
/
ATOMIC_SPECIES
Ni 58.69 Ni.upf
P 30.97 P.upf
Os 190.23 Os.upf
ATOMIC_POSITIONS crystal
Ni 0.000 0.000 0.000
P 0.250 0.250 0.250
P 0.750 0.750 0.750
Os 0.500 0.500 0.500
CELL_PARAMETERS angstrom
0.000 2.935 2.935
2.935 0.000 2.935
2.935 2.935 0.000
```

- crystal system = cubic
- magnetic moment (μB/cell) = 0.96
- density of states at the Fermi level (states/eV/cell) = 5.3

# 8
NiPOs2: relaxed, GGA-PBE. Values from VASP.

Geometry as Quantum ESPRESSO input:
```
&SYSTEM
  ibrav = 0, nat = 4, ntyp = 3
/
ATOMIC_SPECIES
Ni 58.69 Ni.upf
P 30.97 P.upf
Os 190.23 Os.upf
ATOMIC_POSITIONS crystal
Ni 0.000 0.000 0.000
P 0.000 0.000 0.500
Os 0.357 0.500 0.739
Os 0.643 0.500 0.261
CELL_PARAMETERS angstrom
2.865 0.000 0.000
0.000 3.684 0.000
-1.180 0.000 5.009
```

- crystal system = monoclinic
- magnetic moment (μB/cell) = 0.00
- density of states at the Fermi level (states/eV/cell) = 2.9

# 9
Ni2P2Os: relaxed, GGA-PBE. Values from VASP.

Geometry as Quantum ESPRESSO input:
```
&SYSTEM
  ibrav = 0, nat = 10, ntyp = 3
/
ATOMIC_SPECIES
Ni 58.69 Ni.upf
P 30.97 P.upf
Os 190.23 Os.upf
ATOMIC_POSITIONS crystal
Ni 0.139 0.361 0.000
Ni 0.361 0.861 0.000
Ni 0.639 0.139 0.000
Ni 0.861 0.639 0.000
P 0.151 0.651 0.500
P 0.349 0.151 0.500
P 0.651 0.849 0.500
P 0.849 0.349 0.500
Os 0.000 0.000 0.500
Os 0.500 0.500 0.500
CELL_PARAMETERS angstrom
6.239 0.000 0.000
0.000 6.239 0.000
0.000 0.000 3.127
```

- crystal system = tetragonal
- magnetic moment (μB/cell) = 0.00
- density of states at the Fermi level (states/eV/cell) = 2.6

# 10
NiP2Os: relaxed, GGA-PBE. Values from VASP.

Geometry as Quantum ESPRESSO input:
```
&SYSTEM
  ibrav = 0, nat = 4, ntyp = 3
/
ATOMIC_SPECIES
Ni 58.69 Ni.upf
P 30.97 P.upf
Os 190.23 Os.upf
ATOMIC_POSITIONS crystal
Ni 0.000 0.000 0.000
P 0.000 0.000 0.426
P 0.500 0.500 0.867
Os 0.500 0.500 0.254
CELL_PARAMETERS angstrom
2.971 0.000 0.000
0.000 2.971 0.000
0.000 0.000 6.927
```

- crystal system = tetragonal
- magnetic moment (μB/cell) = 0.00
- density of states at the Fermi level (states/eV/cell) = 1.7

# 11
NiPOs2: relaxed, GGA-PBE. Values from VASP.

Geometry as Quantum ESPRESSO input:
```
&SYSTEM
  ibrav = 0, nat = 4, ntyp = 3
/
ATOMIC_SPECIES
Ni 58.69 Ni.upf
P 30.97 P.upf
Os 190.23 Os.upf
ATOMIC_POSITIONS crystal
Ni 0.000 0.000 0.000
P 0.500 0.500 0.822
Os 0.000 0.000 0.505
Os 0.500 0.500 0.265
CELL_PARAMETERS angstrom
2.782 0.000 0.000
0.000 3.592 0.000
0.000 0.000 5.322
```

- crystal system = orthorhombic
- magnetic moment (μB/cell) = 0.00
- density of states at the Fermi level (states/eV/cell) = 3.9

# 12
NiPOs2: relaxed, GGA-PBE. Values from VASP.

Geometry as Quantum ESPRESSO input:
```
&SYSTEM
  ibrav = 0, nat = 4, ntyp = 3
/
ATOMIC_SPECIES
Ni 58.69 Ni.upf
P 30.97 P.upf
Os 190.23 Os.upf
ATOMIC_POSITIONS crystal
Ni 0.000 0.000 0.000
P 0.500 0.500 0.820
Os 0.000 0.000 0.569
Os 0.500 0.500 0.286
CELL_PARAMETERS angstrom
2.844 0.000 0.000
0.000 2.844 0.000
0.000 0.000 6.307
```

- crystal system = tetragonal
- magnetic moment (μB/cell) = 0.00
- density of states at the Fermi level (states/eV/cell) = 3.3

Number 1: energy relative to the elements 0.131 eV/atom, calculated total energy -8.28 eV per atom. Number 2: energy relative to the elements -0.090 eV/atom, calculated total energy -7.05 eV per atom. Number 3: energy relative to the elements 1.032 eV/atom, calculated total energy -5.62 eV per atom. Number 4: energy relative to the elements 0.443 eV/atom, calculated total energy -7.97 eV per atom. Number 5: energy relative to the elements 0.111 eV/atom, calculated total energy -8.30 eV per atom. Number 6: energy relative to the elements 0.319 eV/atom, calculated total energy -6.64 eV per atom. Number 7: energy relative to the elements 0.115 eV/atom, calculated total energy -6.84 eV per atom. Number 8: energy relative to the elements 0.093 eV/atom, calculated total energy -8.32 eV per atom. Number 9: energy relative to the elements -0.174 eV/atom, calculated total energy -6.90 eV per atom. Number 10: energy relative to the elements 0.009 eV/atom, calculated total energy -6.95 eV per atom. Number 11: energy relative to the elements 0.196 eV/atom, calculated total energy -8.22 eV per atom. Number 12: energy relative to the elements 0.070 eV/atom, calculated total energy -8.34 eV per atom.